# DyTlSn2Te4

DyTlSn2Te4 after structural relaxation (GGA-PBE, the Alexandria database).

Unit cell a=4.5248 b=7.8512 c=7.9681 alpha=71.55 beta=90.00 gamma=90.00
Fractional positions:
Sn1 0.5000 0.0000 0.5000
Sn2 0.0000 0.0000 0.0000
Te1 0.0000 0.7551 0.7285
Te2 0.5000 0.7452 0.2678
Te3 0.0000 0.2449 0.2715
Te4 0.5000 0.2548 0.7322
Dy1 0.0000 0.5000 0.5000
Tl1 0.5000 0.5000 0.0000

=====

# Dy4TlSnTe2

Dy4TlSnTe2 after structural relaxation (GGA-PBE, the Alexandria database).

Unit cell a=4.3524 b=7.9230 c=7.2890 alpha=71.14 beta=90.00 gamma=90.00
Fractional positions:
Dy1 0.5000 0.2569 0.7442
Dy2 0.0000 0.7483 0.7505
Dy3 0.5000 0.7431 0.2558
Dy4 0.0000 0.2517 0.2495
Te1 0.5000 0.0000 0.5000
Te2 0.0000 0.0000 0.0000
Tl1 0.5000 0.5000 0.0000
Sn1 0.0000 0.5000 0.5000

=====

# Dy2Tl3SnTe6

Dy2Tl3SnTe6 after structural relaxation (GGA-PBE, the Alexandria database).

Unit cell a=4.4237 b=9.5902 c=10.5420 alpha=107.27 beta=102.11 gamma=90.00
Fractional positions:
Tl1 0.1669 0.8385 0.3339
Tl2 0.8331 0.1615 0.6661
Tl3 0.5000 0.5000 0.0000
Sn1 0.5000 0.0000 0.0000
Te1 0.0099 0.2370 0.0199
Te2 0.9901 0.7630 0.9801
Te3 0.3261 0.4337 0.6522
Te4 0.6607 0.1080 0.3214
Te5 0.3393 0.8920 0.6786
Te6 0.6739 0.5663 0.3478
Dy1 0.1684 0.3370 0.3367
Dy2 0.8316 0.6630 0.6633

=====

# DyTl3Sn2Te6

DyTl3Sn2Te6 after structural relaxation (GGA-PBE, the Alexandria database).

Unit cell a=7.7858 b=7.7858 c=8.2980 alpha=98.98 beta=98.98 gamma=119.92
Fractional positions:
Te1 0.4029 0.0720 0.2173
Te2 0.7417 0.7417 0.2171
Te3 0.5971 0.9280 0.7827
Te4 0.9280 0.5971 0.7827
Te5 0.0720 0.4029 0.2173
Te6 0.2583 0.2583 0.7829
Tl1 0.5000 0.5000 0.5000
Tl2 0.8333 0.1667 0.5000
Tl3 0.1667 0.8333 0.5000
Sn1 0.6661 0.3339 0.0000
Sn2 0.3339 0.6661 0.0000
Dy1 0.0000 0.0000 0.0000

=====

Let's list volume in order: 33.57, 29.73, 34.72, 34.52 A^3/atom.
Let's list energy relative to the elements, uncorrected in order: -0.60, -0.91, -0.78, -0.50 eV per atom.